RbSb3F: optimized geometry, GGA-PBE.

Cell: 5.157 5.157 5.157 Å, 90.00 90.00 90.00°
Space group Pm-3m (No. 221)
Symmetry-distinct sites (fractional):
1 Rb 0.000 0.000 0.000
2 Sb 0.000 0.500 0.500
3 F 0.500 0.500 0.500

Summary:
- Theoretical density: 5.69 g/cm³
- Raw formation energy: -0.268 eV/atom
- D(E_F): 0.47 states/eV per atom
- Polymorph energy (0 for the lowest one): 0 meV per atom

Ca3SbP: optimized geometry, GGA-PBE.

Cell: 7.525 21.764 5.965 Å, 90.00 90.00 90.00°
Space group Cmcm (No. 63)
Symmetry-distinct sites (fractional):
1 Ca 0.000 0.000 0.000
2 Ca 0.245 0.312 0.250
3 Sb 0.000 0.306 0.750
4 P 0.000 0.099 0.750

Summary:
- Theoretical density: 1.86 g/cm³
- Raw formation energy: -0.391 eV/atom
- D(E_F): 0.99 states/eV per atom
- Polymorph energy (0 for the lowest one): 704 meV per atom

RbGa2TcSn: optimized geometry, GGA-PBE.

Cell: 5.015 5.015 5.168 Å, 90.00 90.00 90.00°
Space group P4/mmm (No. 123)
Symmetry-distinct sites (fractional):
1 Rb 0.000 0.000 0.000
2 Ga 0.000 0.500 0.500
3 Tc 0.500 0.500 0.500
4 Sn 0.500 0.500 0.000

Summary:
- Energy relative to the elements: -0.65 eV/f.u.
- Theoretical density: 5.64 g/cm³
- D(E_F): 0.15 states/eV per atom

POsCS2: optimized geometry, GGA-PBE.

Cell: 4.610 4.610 4.581 Å, 90.00 90.00 90.00°
Space group P4/mmm (No. 123)
Symmetry-distinct sites (fractional):
1 P 0.000 0.000 0.000
2 Os 0.000 0.000 0.500
3 C 0.500 0.500 0.000
4 S 0.000 0.500 0.500

Summary:
- Theoretical density: 5.07 g/cm³
- Raw formation energy: 1.932 eV/atom
- D(E_F): 1.11 states/eV per atom
- Polymorph energy (0 for the lowest one): 537 meV per atom

SrAgMo2Os: optimized geometry, GGA-PBE.

Cell: 4.889 4.889 5.016 Å, 90.00 90.00 90.00°
Space group P4/mmm (No. 123)
Symmetry-distinct sites (fractional):
1 Sr 0.000 0.000 0.000
2 Ag 0.500 0.500 0.500
3 Mo 0.000 0.500 0.500
4 Os 0.500 0.500 0.000

Summary:
- Energy relative to the elements: 10.91 eV/f.u.
- Theoretical density: 8.00 g/cm³
- D(E_F): 1.78 states/eV per atom

SmMgP2Rh5: optimized geometry, GGA-PBE.

Cell: 4.139 4.139 9.448 Å, 90.00 90.00 90.00°
Space group P4/mmm (No. 123)
Symmetry-distinct sites (fractional):
1 Sm 0.000 0.000 0.000
2 Mg 0.000 0.000 0.500
3 P 0.500 0.500 0.238
4 Rh 0.000 0.500 0.331
5 Rh 0.500 0.500 0.000

Summary:
- Energy relative to the elements: -5.39 eV/f.u.
- Theoretical density: 7.70 g/cm³
- D(E_F): 0.37 states/eV per atom

Copy entry 1 word for word.
RbSb3F: optimized geometry, GGA-PBE.

Cell: 5.157 5.157 5.157 Å, 90.00 90.00 90.00°
Space group Pm-3m (No. 221)
Symmetry-distinct sites (fractional):
1 Rb 0.000 0.000 0.000
2 Sb 0.000 0.500 0.500
3 F 0.500 0.500 0.500

Summary:
- Theoretical density: 5.69 g/cm³
- Raw formation energy: -0.268 eV/atom
- D(E_F): 0.47 states/eV per atom
- Polymorph energy (0 for the lowest one): 0 meV per atom

- What is the D(E_F) in the third record?
  0.15 states/eV per atom

- Which of these has the lowest theoretical density?
  Ca3SbP

- Which of these has the highest D(E_F)?
  SrAgMo2Os